1.
Here is an optimized crystal structure of DyZrTl from OQMD via LeMat-Bulk. Energies are from GGA-PBE.

Calculated volume (Å³/cell): 350.8
Calculated total energy (hartree per atom): -0.181
Mass density (Mg/m³): 8.68

a b c (Å): 7.0524 7.0524 7.0524
angles (deg): 90.00 90.00 90.00
Space group F-43m (No. 216)
Inequivalent atoms, fractional coordinates:
Dy: 0.0000 0.0000 0.0000 x4
Zr: 0.0000 0.0000 0.5000 x4
Tl: 0.2500 0.2500 0.2500 x4

2.
Here is an optimized crystal structure of Dy3Tm5 from OQMD via LeMat-Bulk. Energies are from GGA-PBE.

Calculated volume (Å³/cell): 489.7
Calculated total energy (hartree per atom): -0.166
Mass density (Mg/m³): 9.03

a b c (Å): 5.5420 7.1422 12.3720
angles (deg): 90.00 90.00 90.00
Space group Amm2 (No. 38)
Inequivalent atoms, fractional coordinates:
Dy: 0.0000 0.0000 0.0000 x2
Dy: 0.0000 0.0000 0.4999 x2
Dy: 0.5000 0.0000 0.1671 x2
Tm: 0.0000 0.2501 0.2506 x4
Tm: 0.5000 0.0000 0.6672 x2
Tm: 0.5000 0.2504 0.4167 x4

Q: Which formula does entry 1 have?
A: DyZrTl

Q: Which value of calculated total energy does entry 1 give?
A: -0.181 hartree per atom

Q: Look up the calculated total energy of the first one.
A: -0.181 hartree per atom

Q: Which of these has the lowest mass density?
A: DyZrTl